No. 1
Here is a relaxed BaAs2PbAu4 crystal from the Alexandria database. Energies are from PBE.

a = 4.637 Å, b = 4.637 Å, c = 9.386 Å
α = 90.00°, β = 90.00°, γ = 90.00°
Element x y z (fractional)
1 Ba 0.000 0.000 0.000
2 As 0.500 0.500 0.170
3 As 0.500 0.500 0.830
4 Pb 0.000 0.000 0.500
5 Au 0.000 0.500 0.293
6 Au 0.000 0.500 0.707
7 Au 0.500 0.000 0.293
8 Au 0.500 0.000 0.707

Output
space group: P4/mmm, No. 123
E_form: -0.292 eV/atom

No. 2
Here is a relaxed TaBe2HgSb crystal from the Alexandria database. Energies are from PBE.

a = 4.665 Å, b = 4.665 Å, c = 5.257 Å
α = 90.00°, β = 90.00°, γ = 90.00°
Element x y z (fractional)
1 Ta 0.000 0.000 0.000
2 Be 0.000 0.500 0.000
3 Be 0.500 0.000 0.000
4 Hg 0.000 0.000 0.500
5 Sb 0.500 0.500 0.500

Output
space group: P4/mmm, No. 123
formation energy without anion corrections: 6.72 eV per formula unit

No. 3
Here is a relaxed K12Rb5Ag3 crystal from the Alexandria database. Energies are from PBE.

a = 20.027 Å, b = 20.027 Å, c = 20.027 Å
α = 109.47°, β = 109.47°, γ = 109.47°
Element x y z (fractional)
1 K 0.039 0.633 0.379
2 K 0.039 0.906 0.660
3 K 0.094 0.254 0.133
4 K 0.094 0.340 0.961
5 K 0.121 0.754 0.660
6 K 0.121 0.867 0.461
7 K 0.133 0.094 0.254
8 K 0.133 0.539 0.879
9 K 0.160 0.254 0.621
10 K 0.160 0.406 0.539
11 K 0.246 0.340 0.879
12 K 0.246 0.406 0.367
13 K 0.254 0.133 0.094
14 K 0.254 0.621 0.160
15 K 0.340 0.879 0.246
16 K 0.340 0.961 0.094
17 K 0.367 0.246 0.406
18 K 0.367 0.621 0.961
19 K 0.379 0.039 0.633
20 K 0.379 0.840 0.746
21 K 0.406 0.367 0.246
22 K 0.406 0.539 0.160
23 K 0.461 0.121 0.867
24 K 0.461 0.840 0.594
25 K 0.539 0.160 0.406
26 K 0.539 0.879 0.133
27 K 0.594 0.461 0.840
28 K 0.594 0.633 0.754
29 K 0.621 0.160 0.254
30 K 0.621 0.961 0.367
31 K 0.633 0.379 0.039
32 K 0.633 0.754 0.594
33 K 0.660 0.039 0.906
34 K 0.660 0.121 0.754
35 K 0.746 0.379 0.840
36 K 0.746 0.867 0.906
37 K 0.754 0.594 0.633
38 K 0.754 0.660 0.121
39 K 0.840 0.594 0.461
40 K 0.840 0.746 0.379
41 K 0.867 0.461 0.121
42 K 0.867 0.906 0.746
43 K 0.879 0.133 0.539
44 K 0.879 0.246 0.340
45 K 0.906 0.660 0.039
46 K 0.906 0.746 0.867
47 K 0.961 0.094 0.340
48 K 0.961 0.367 0.621
49 Rb 0.000 0.000 0.000
50 Rb 0.000 0.000 0.500
51 Rb 0.000 0.500 0.000
52 Rb 0.000 0.500 0.500
53 Rb 0.125 0.750 0.875
54 Rb 0.125 0.875 0.250
55 Rb 0.250 0.125 0.875
56 Rb 0.250 0.625 0.375
57 Rb 0.375 0.250 0.625
58 Rb 0.375 0.625 0.750
59 Rb 0.500 0.000 0.000
60 Rb 0.500 0.000 0.500
61 Rb 0.500 0.500 0.000
62 Rb 0.500 0.500 0.500
63 Rb 0.625 0.375 0.250
64 Rb 0.625 0.750 0.375
65 Rb 0.750 0.375 0.625
66 Rb 0.750 0.875 0.125
67 Rb 0.875 0.125 0.750
68 Rb 0.875 0.250 0.125
69 Ag 0.125 0.250 0.375
70 Ag 0.125 0.375 0.750
71 Ag 0.250 0.375 0.125
72 Ag 0.250 0.875 0.625
73 Ag 0.375 0.125 0.250
74 Ag 0.375 0.750 0.125
75 Ag 0.625 0.250 0.875
76 Ag 0.625 0.875 0.750
77 Ag 0.750 0.125 0.375
78 Ag 0.750 0.625 0.875
79 Ag 0.875 0.625 0.250
80 Ag 0.875 0.750 0.625

Output
space group: Ia-3d, No. 230
E_form: 0.198 eV/atom

No. 4
Here is a relaxed AlH2Cl crystal from the Alexandria database. Energies are from PBE.

a = 5.219 Å, b = 5.219 Å, c = 7.337 Å
α = 90.00°, β = 90.00°, γ = 90.00°
Element x y z (fractional)
1 Al 0.000 0.000 0.000
2 Al 0.000 0.500 0.250
3 Al 0.500 0.000 0.750
4 Al 0.500 0.500 0.500
5 H 0.039 0.750 0.125
6 H 0.250 0.039 0.875
7 H 0.250 0.461 0.375
8 H 0.461 0.750 0.625
9 H 0.539 0.250 0.625
10 H 0.750 0.539 0.375
11 H 0.750 0.961 0.875
12 H 0.961 0.250 0.125
13 Cl 0.000 0.000 0.500
14 Cl 0.000 0.500 0.750
15 Cl 0.500 0.000 0.250
16 Cl 0.500 0.500 0.000

Output
space group: I-42d, No. 122
energy above the lowest structure with this stoichiometry: 99.9 meV per atom

No. 5
Here is a relaxed InAg2 crystal from the Alexandria database. Energies are from PBE.

a = 3.029 Å, b = 3.029 Å, c = 27.014 Å
α = 90.00°, β = 90.00°, γ = 90.00°
Element x y z (fractional)
1 In 0.000 0.250 0.375
2 In 0.000 0.750 0.625
3 In 0.500 0.250 0.125
4 In 0.500 0.750 0.875
5 Ag 0.000 0.250 0.795
6 Ag 0.000 0.250 0.955
7 Ag 0.000 0.750 0.045
8 Ag 0.000 0.750 0.205
9 Ag 0.500 0.250 0.545
10 Ag 0.500 0.250 0.705
11 Ag 0.500 0.750 0.295
12 Ag 0.500 0.750 0.455

Output
space group: I4_1/amd, No. 141
E_form: 0.112 eV/atom

No. 6
Here is a relaxed K2BeGe crystal from the Alexandria database. Energies are from PBE.

a = 4.147 Å, b = 5.937 Å, c = 6.129 Å
α = 118.75°, β = 109.00°, γ = 90.62°
Element x y z (fractional)
1 K 0.000 0.000 0.000
2 K 0.199 0.677 0.353
3 Be 0.359 0.352 0.705
4 Ge 0.811 0.303 0.606

Output
space group: P1, No. 1
energy above the lowest structure with this stoichiometry: 61.5 meV per atom
E_form: 0.070 eV/atom

No. 7
Here is a relaxed TaCrCdAs2 crystal from the Alexandria database. Energies are from PBE.

a = 4.961 Å, b = 4.961 Å, c = 5.115 Å
α = 90.00°, β = 90.00°, γ = 90.00°
Element x y z (fractional)
1 Ta 0.000 0.000 0.000
2 Cr 0.000 0.000 0.500
3 Cd 0.500 0.500 0.500
4 As 0.000 0.500 0.000
5 As 0.500 0.000 0.000

Output
space group: P4/mmm, No. 123
E_form: 0.714 eV/atom

No. 8
Here is a relaxed PmPr8In5 crystal from the Alexandria database. Energies are from PBE.

a = 8.431 Å, b = 8.431 Å, c = 8.431 Å
α = 109.11°, β = 109.11°, γ = 110.20°
Element x y z (fractional)
1 Pm 0.000 0.000 0.000
2 Pr 0.123 0.706 0.731
3 Pr 0.129 0.230 0.738
4 Pr 0.294 0.025 0.417
5 Pr 0.492 0.391 0.262
6 Pr 0.608 0.877 0.583
7 Pr 0.609 0.871 0.101
8 Pr 0.770 0.508 0.899
9 Pr 0.975 0.392 0.269
10 In 0.233 0.611 0.113
11 In 0.389 0.502 0.622
12 In 0.498 0.120 0.887
13 In 0.750 0.250 0.500
14 In 0.880 0.767 0.378

Output
space group: I-4, No. 82
E_form: -0.232 eV/atom

No. 9
Here is a relaxed LiYP2 crystal from the Alexandria database. Energies are from PBE.

a = 6.598 Å, b = 5.884 Å, c = 7.416 Å
α = 90.00°, β = 90.00°, γ = 90.00°
Element x y z (fractional)
1 Li 0.249 0.250 0.000
2 Li 0.249 0.250 0.500
3 Li 0.751 0.750 0.000
4 Li 0.751 0.750 0.500
5 Y 0.250 0.750 0.000
6 Y 0.250 0.750 0.500
7 Y 0.750 0.250 0.000
8 Y 0.750 0.250 0.500
9 P 0.023 0.040 0.250
10 P 0.023 0.460 0.750
11 P 0.476 0.041 0.750
12 P 0.476 0.459 0.250
13 P 0.524 0.541 0.750
14 P 0.524 0.959 0.250
15 P 0.977 0.540 0.250
16 P 0.977 0.960 0.750

Output
space group: Pbcm, No. 57
energy above the lowest structure with this stoichiometry: 133.5 meV per atom
E_form: -0.738 eV/atom

No. 10
Here is a relaxed Np2TlO7 crystal from the Alexandria database. Energies are from PBE.

a = 7.029 Å, b = 7.029 Å, c = 4.175 Å
α = 90.00°, β = 90.00°, γ = 126.14°
Element x y z (fractional)
1 Np 0.167 0.833 0.000
2 Np 0.833 0.167 0.000
3 Tl 0.500 0.500 0.500
4 O 0.000 0.000 0.000
5 O 0.143 0.449 0.000
6 O 0.170 0.830 0.500
7 O 0.449 0.143 0.000
8 O 0.551 0.857 0.000
9 O 0.830 0.170 0.500
10 O 0.857 0.551 0.000

Output
space group: Cmmm, No. 65
formation energy without anion corrections: -22.97 eV per formula unit

No. 11
Here is a relaxed KBeI3 crystal from the Alexandria database. Energies are from PBE.

a = 8.030 Å, b = 9.372 Å, c = 13.765 Å
α = 90.00°, β = 123.83°, γ = 90.00°
Element x y z (fractional)
1 K 0.185 0.122 0.242
2 K 0.185 0.378 0.742
3 K 0.815 0.622 0.258
4 K 0.815 0.878 0.758
5 Be 0.199 0.662 0.096
6 Be 0.199 0.838 0.596
7 Be 0.801 0.162 0.404
8 Be 0.801 0.338 0.904
9 I 0.066 0.202 0.933
10 I 0.066 0.298 0.433
11 I 0.297 0.689 0.968
12 I 0.297 0.811 0.468
13 I 0.370 0.508 0.252
14 I 0.370 0.992 0.752
15 I 0.630 0.008 0.248
16 I 0.630 0.492 0.748
17 I 0.703 0.189 0.532
18 I 0.703 0.311 0.032
19 I 0.934 0.702 0.567
20 I 0.934 0.798 0.067

Output
space group: P2_1/c, No. 14
energy above the lowest structure with this stoichiometry: 0.0 meV per atom
formation energy without anion corrections: -4.53 eV per formula unit

No. 12
Here is a relaxed MgAgHg crystal from the Alexandria database. Energies are from PBE.

a = 3.867 Å, b = 4.471 Å, c = 4.071 Å
α = 90.00°, β = 90.08°, γ = 90.00°
Element x y z (fractional)
1 Mg 0.000 0.000 0.000
2 Ag 0.500 0.000 0.500
3 Hg 0.500 0.500 0.000

Output
space group: P2/m, No. 10
energy above the lowest structure with this stoichiometry: 187.5 meV per atom
E_form: 0.013 eV/atom

| no. | spin magnetization (μB/f.u.) | density (g/cm3) |
| --- | --- | --- |
| 1 | 0.000 | 10.55 |
| 2 | 0.000 | 7.57 |
| 3 | 0.000 | 1.31 |
| 4 | 0.000 | 2.14 |
| 5 | 0.000 | 8.86 |
| 6 | 0.000 | 2.17 |
| 7 | 3.655 | 6.53 |
| 8 | 0.001 | 6.65 |
| 9 | 0.000 | 3.64 |
| 10 | 1.003 | 7.88 |
| 11 | 0.000 | 3.31 |
| 12 | 0.000 | 7.85 |